Record 1
VASP calculation (PBE) on a geometry-optimized AlZn2Si structure.

a b c (Å): 6.367 6.367 6.367
angles (deg): 90.00 90.00 90.00
Space group F-43m (No. 216)
Symmetry-distinct sites (fractional):
Al 0.000 0.000 0.000 x4
Zn 0.000 0.000 0.500 x4
Zn 0.250 0.250 0.750 x4
Si 0.250 0.250 0.250 x4

Properties
**Energy**: -2.6597 eV/atom
**Fermi-level density of states**: 10.49 states/eV/cell
**ΔE_f (raw)**: 1.1 eV per formula unit
**Size of the total moment**: 0.000 μB/cell

***

Record 2
VASP calculation (PBE) on a geometry-optimized AlZn2Si structure.

a b c (Å): 8.510 2.975 5.170
angles (deg): 90.00 104.26 90.00
Space group Cm (No. 8)
Symmetry-distinct sites (fractional):
Al 0.000 0.000 0.000 x2
Zn 0.004 0.500 0.496 x2
Zn 0.253 0.500 0.267 x2
Si 0.249 0.000 0.764 x2

Properties
**Energy**: -2.7693 eV/atom
**Fermi-level density of states**: 2.45 states/eV/cell
**ΔE_f (raw)**: 0.6 eV per formula unit
**Size of the total moment**: 0.000 μB/cell

***

Q: size of the total moment of number 2 (AlZn2Si)?
A: 0.000 μB/cell

***

Q: Look up the size of the total moment of the first one.
A: 0.000 μB/cell

***

Q: ΔE_f (raw) of number 1 (AlZn2Si)?
A: 1.1 eV per formula unit